A plane-wave DFT calculation with PBE was carried out for a relaxed CsPmAg2 crystal.

## Properties
* SG: No. 123
* VASP energy: -2.884 eV per atom
* DFT formation energy: -0.057 eV/atom

```
CsPmAg2
1.0
3.9430 0.0000 0.0000
0.0000 3.9430 0.0000
0.0000 0.0000 8.7356
Cs Pm Ag
1 1 2
Direct
0.0000 0.0000 0.0000
0.0000 0.0000 0.5000
0.5000 0.5000 0.3296
0.5000 0.5000 0.6704
```

***

A plane-wave DFT calculation with PBE was carried out for a relaxed CsPmAgS2 crystal.

## Properties
* SG: No. 13
* E_form (uncorrected): -1.102 eV per atom
* VASP energy: -4.444 eV per atom

```
CsPmAgS2
1.0
8.0310 0.0000 0.0000
0.0000 5.1747 0.0000
-1.3028 0.0000 7.9576
Cs Pm Ag S
2 2 2 4
Direct
0.0000 0.1418 0.2500
0.0000 0.8582 0.7500
0.5000 0.4942 0.7500
0.5000 0.5058 0.2500
0.5000 0.0000 0.0000
0.5000 0.0000 0.5000
0.2779 0.3621 0.9656
0.2779 0.6379 0.4656
0.7221 0.3621 0.5344
0.7221 0.6379 0.0344
```

***

A plane-wave DFT calculation with PBE was carried out for a relaxed CsPmAgSe3 crystal.

## Properties
* SG: No. 63
* E_form (uncorrected): -1.134 eV per atom
* VASP energy: -4.285 eV per atom

```
CsPmAgSe3
1.0
2.1374 -8.2041 0.0000
2.1374 8.2041 0.0000
0.0000 0.0000 11.1300
Cs Pm Ag Se
2 2 2 6
Direct
0.2461 0.7539 0.7500
0.7539 0.2461 0.2500
0.5000 0.5000 0.0000
0.5000 0.5000 0.5000
0.0352 0.9648 0.2500
0.9648 0.0352 0.7500
0.1203 0.8797 0.0506
0.1203 0.8797 0.4494
0.4370 0.5630 0.2500
0.5630 0.4370 0.7500
0.8797 0.1203 0.5506
0.8797 0.1203 0.9494
```